Density functional theory data (PBE) for a relaxed ScReBr2 crystal.

Computed properties:
The calculation puts the formation energy (no corrections) at 0.455 eV per atom. Its space group is No. 123.

a = 4.5684 Å, b = 4.5684 Å, c = 3.4021 Å
α = 90.00°, β = 90.00°, γ = 90.00°
Sites, in units of the cell vectors:
Br  0.0000  0.0000  0.0000
Br  0.5000  0.5000  0.0000
Re  0.5000  0.0000  0.5000
Sc  0.0000  0.5000  0.5000

***

Density functional theory data (PBE) for a relaxed ScReBr2 crystal.

Computed properties:
The calculation puts the formation energy (no corrections) at -0.006 eV per atom. Its space group is No. 35.

a = 3.2903 Å, b = 3.2903 Å, c = 9.8579 Å
α = 90.00°, β = 90.00°, γ = 119.07°
Sites, in units of the cell vectors:
Re  0.0000  0.0000  0.5130
Br  0.0000  0.0000  0.9400
Br  0.5000  0.5000  0.3137
Sc  0.5000  0.5000  0.7333

***

Density functional theory data (PBE) for a relaxed ScReBr2 crystal.

Computed properties:
The calculation puts the formation energy (no corrections) at 0.386 eV per atom. Its space group is No. 10.

a = 4.3589 Å, b = 3.6717 Å, c = 5.1127 Å
α = 88.34°, β = 90.00°, γ = 90.00°
Sites, in units of the cell vectors:
Sc  0.5000  0.7500  0.7500
Br  0.0000  0.4729  0.4817
Br  0.0000  0.0271  0.0183
Re  0.5000  0.2500  0.2500

***

Density functional theory data (PBE) for a relaxed ScReBr2 crystal.

Computed properties:
The calculation puts the formation energy (no corrections) at 0.576 eV per atom. Its space group is No. 65.

a = 3.2531 Å, b = 3.2531 Å, c = 9.9448 Å
α = 90.00°, β = 90.00°, γ = 117.78°
Site moments in Bohr magnetons follow the coordinates.
Sites, in units of the cell vectors:
Re  0.5000  0.5000  0.2500  2.39
Br  0.0000  0.0000  0.5453  0.01
Br  0.0000  0.0000  0.9547  0.01
Sc  0.5000  0.5000  0.7500  -0.23

***

Density functional theory data (PBE) for a relaxed ScReBr2 crystal.

Computed properties:
The calculation puts the formation energy (no corrections) at -0.111 eV per atom. Its space group is No. 99.

a = 3.1755 Å, b = 3.1755 Å, c = 8.8480 Å
α = 90.00°, β = 90.00°, γ = 90.00°
Sites, in units of the cell vectors:
Br  0.5000  0.5000  0.3334
Br  0.0000  0.0000  0.9311
Re  0.0000  0.0000  0.5086
Sc  0.5000  0.5000  0.7269

***

Density functional theory data (PBE) for a relaxed ScRe2Br2 crystal.

Computed properties:
The calculation puts the formation energy (no corrections) at 0.687 eV per atom. Its space group is No. 139.

a = 4.2301 Å, b = 4.2301 Å, c = 6.6404 Å
α = 71.43°, β = 71.43°, γ = 90.00°
Sites, in units of the cell vectors:
Br  0.7500  0.2500  0.5000
Br  0.2500  0.7500  0.5000
Sc  0.0000  0.0000  0.0000
Re  0.4048  0.4048  0.1903
Re  0.5952  0.5952  0.8097

***

Density functional theory data (PBE) for a relaxed ScRe3Br crystal.

Computed properties:
The calculation puts the formation energy (no corrections) at 2.898 eV per atom. Its space group is No. 221.

a = 4.7294 Å, b = 4.7294 Å, c = 4.7294 Å
α = 90.00°, β = 90.00°, γ = 90.00°
Sites, in units of the cell vectors:
Sc  0.0000  0.0000  0.0000
Re  0.0000  0.5000  0.0000
Re  0.0000  0.0000  0.5000
Re  0.5000  0.0000  0.0000
Br  0.5000  0.5000  0.5000

***

Density functional theory data (PBE) for a relaxed ScReBr2 crystal.

Computed properties:
The calculation puts the formation energy (no corrections) at 0.387 eV per atom. Its space group is No. 12.

a = 5.5370 Å, b = 5.5370 Å, c = 3.5154 Å
α = 70.19°, β = 70.19°, γ = 108.53°
Site moments in Bohr magnetons follow the coordinates.
Sites, in units of the cell vectors:
Sc  0.0000  0.5000  0.5000  -0.14
Re  0.5000  0.0000  0.5000  1.36
Br  0.0000  0.0000  0.0000  0.03
Br  0.5000  0.5000  0.0000  0.03

***

Density functional theory data (PBE) for a relaxed ScReBr2 crystal.

Computed properties:
The calculation puts the formation energy (no corrections) at -0.105 eV per atom. Its space group is No. 71.

a = 7.5593 Å, b = 7.5593 Å, c = 7.5593 Å
α = 153.09°, β = 147.65°, γ = 42.57°
Sites, in units of the cell vectors:
Sc  0.7500  0.2500  0.5000
Br  0.3892  0.3892  0.0000
Br  0.1108  0.1108  0.0000
Re  0.2500  0.7500  0.5000

***

Density functional theory data (PBE) for a relaxed ScReBr2 crystal.

Computed properties:
The calculation puts the formation energy (no corrections) at 0.812 eV per atom. Its space group is No. 216.

a = 4.9955 Å, b = 4.9955 Å, c = 4.9955 Å
α = 60.00°, β = 60.00°, γ = 60.00°
Site moments in Bohr magnetons follow the coordinates.
Sites, in units of the cell vectors:
Sc  0.7500  0.7500  0.7500  0.08
Br  0.2500  0.2500  0.2500  0.22
Br  0.0000  0.0000  0.0000  0.20
Re  0.5000  0.5000  0.5000  2.55

***

Density functional theory data (PBE) for a relaxed Sc2Re4Br crystal.

Computed properties:
The calculation puts the formation energy (no corrections) at 1.685 eV per atom. Its space group is No. 139.

a = 4.5094 Å, b = 4.5094 Å, c = 7.5667 Å
α = 72.66°, β = 72.66°, γ = 90.00°
Sites, in units of the cell vectors:
Br  0.0000  0.0000  0.0000
Re  0.0000  0.5000  0.0000
Re  0.5000  0.0000  0.0000
Re  0.8293  0.8293  0.3413
Re  0.1707  0.1707  0.6587
Sc  0.3654  0.3654  0.2692
Sc  0.6346  0.6346  0.7308

***

Density functional theory data (PBE) for a relaxed ScReBr2 crystal.

Computed properties:
The calculation puts the formation energy (no corrections) at 0.015 eV per atom. Its space group is No. 8.

a = 6.0309 Å, b = 6.0309 Å, c = 5.7705 Å
α = 92.88°, β = 92.88°, γ = 31.61°
Sites, in units of the cell vectors:
Br  0.9630  0.9630  0.1892
Br  0.7337  0.7337  0.7533
Sc  0.2071  0.2071  0.1500
Re  0.5962  0.5962  0.4075

***

Density functional theory data (PBE) for a relaxed ScReBr2 crystal.

Computed properties:
The calculation puts the formation energy (no corrections) at 0.093 eV per atom. Its space group is No. 44.

a = 7.3111 Å, b = 7.3111 Å, c = 7.3111 Å
α = 154.34°, β = 146.61°, γ = 42.58°
Sites, in units of the cell vectors:
Re  0.5219  0.5219  0.0000
Br  0.2779  0.7779  0.5000
Br  0.0255  0.0255  0.0000
Sc  0.6748  0.1748  0.5000

***

Density functional theory data (PBE) for a relaxed ScReBr2 crystal.

Computed properties:
The calculation puts the formation energy (no corrections) at 0.390 eV per atom. Its space group is No. 166.

a = 10.2218 Å, b = 10.2218 Å, c = 10.2218 Å
α = 18.54°, β = 18.54°, γ = 18.54°
Site moments in Bohr magnetons follow the coordinates.
Sites, in units of the cell vectors:
Br  0.0213  0.0213  0.0213  0.01
Br  0.4787  0.4787  0.4787  0.01
Sc  0.7500  0.7500  0.7500  -0.20
Re  0.2500  0.2500  0.2500  2.44

***

Density functional theory data (PBE) for a relaxed ScReBr2 crystal.

Computed properties:
The calculation puts the formation energy (no corrections) at -0.153 eV per atom. Its space group is No. 12.

a = 7.5582 Å, b = 7.5582 Å, c = 4.4448 Å
α = 87.86°, β = 87.86°, γ = 25.11°
Site moments in Bohr magnetons follow the coordinates.
Sites, in units of the cell vectors:
Re  0.7500  0.7500  0.7500  0.59
Br  0.6055  0.6055  0.4763  0.03
Br  0.8945  0.8945  0.0237  0.03
Sc  0.2500  0.2500  0.2500  -0.06

***

Density functional theory data (PBE) for a relaxed ScReBr4 crystal.

Computed properties:
The calculation puts the formation energy (no corrections) at 1.200 eV per atom. Its space group is No. 216.

a = 6.1845 Å, b = 6.1845 Å, c = 6.1845 Å
α = 60.00°, β = 60.00°, γ = 60.00°
Site moments in Bohr magnetons follow the coordinates.
Sites, in units of the cell vectors:
Br  0.3748  0.8756  0.3748  0.31
Br  0.3748  0.3748  0.8756  0.31
Br  0.3748  0.3748  0.3748  0.31
Br  0.8756  0.3748  0.3748  0.31
Sc  0.0000  0.0000  0.0000  -0.53
Re  0.7500  0.7500  0.7500  3.90

***

Density functional theory data (PBE) for a relaxed ScReSi2Br crystal.

Computed properties:
The calculation puts the formation energy (no corrections) at 0.479 eV per atom. Its space group is No. 123.

a = 4.5868 Å, b = 5.4634 Å, c = 4.5868 Å
α = 90.00°, β = 90.00°, γ = 90.00°
Site moments in Bohr magnetons follow the coordinates.
Sites, in units of the cell vectors:
Re  0.0000  0.0000  0.0000  0.03
Sc  0.5000  0.5000  0.5000  0.35
Br  0.0000  0.5000  0.0000  0.00
Si  0.5000  0.0000  0.0000  0.01
Si  0.0000  0.0000  0.5000  0.01

***

Density functional theory data (PBE) for a relaxed YSc2ReBr crystal.

Computed properties:
The calculation puts the formation energy (no corrections) at 1.474 eV per atom. Its space group is No. 123.

a = 5.5880 Å, b = 5.5880 Å, c = 4.8290 Å
α = 90.00°, β = 90.00°, γ = 90.00°
Sites, in units of the cell vectors:
Y  0.0000  0.0000  0.0000
Sc  0.5000  0.0000  0.0000
Sc  0.0000  0.5000  0.0000
Br  0.5000  0.5000  0.5000
Re  0.0000  0.0000  0.5000

***

Density functional theory data (PBE) for a relaxed ReSe3Br crystal.

Computed properties:
The calculation puts the formation energy (no corrections) at 0.003 eV per atom. Its space group is No. 2.

a = 4.9084 Å, b = 8.7351 Å, c = 7.6108 Å
α = 106.72°, β = 88.98°, γ = 105.38°
Sites, in units of the cell vectors:
Se  0.9560  0.9132  0.2443
Se  0.0440  0.0868  0.7557
Se  0.2267  0.4320  0.5326
Se  0.7733  0.5680  0.4674
Se  0.7120  0.4135  0.8855
Se  0.2880  0.5865  0.1145
Re  0.8063  0.6310  0.1917
Re  0.1937  0.3690  0.8083
Br  0.4293  0.9418  0.7358
Br  0.5707  0.0582  0.2642

***

Density functional theory data (PBE) for a relaxed ReSeBr3 crystal.

Computed properties:
The calculation puts the formation energy (no corrections) at 0.729 eV per atom. Its space group is No. 221.

a = 5.0194 Å, b = 5.0194 Å, c = 5.0194 Å
α = 90.00°, β = 90.00°, γ = 90.00°
Sites, in units of the cell vectors:
Br  0.0000  0.0000  0.5000
Br  0.0000  0.5000  0.0000
Br  0.5000  0.0000  0.0000
Re  0.0000  0.0000  0.0000
Se  0.5000  0.5000  0.5000